[1]
First-principles (PBE-GGA) data for a geometry-optimized Pm2BiAs3Pd4 structure, as listed in the Alexandria database.

Cell: 4.2935 4.2935 11.2636 Å, 90.00 90.00 90.00°
Last column: nearest neighbours and their distance in Å.
Positions (direct):
Pm: 0.0000 0.5000 0.2184  4 As 3.20, 8 Pd 3.26-3.35
Pm: 0.5000 0.0000 0.7816  4 As 3.20, 8 Pd 3.26-3.35
Bi: 0.0000 0.0000 0.5000  4 Pd 2.77, 4 As 3.04
As: 0.0000 0.5000 0.8714  5 Pd 2.44-2.59
As: 0.5000 0.0000 0.1286  5 Pd 2.44-2.59
As: 0.5000 0.5000 0.5000  4 Pd 2.77, 4 Bi 3.04
Pd: 0.0000 0.0000 0.0000  4 As 2.59
Pd: 0.0000 0.5000 0.6551  1 As 2.44
Pd: 0.5000 0.0000 0.3449  1 As 2.44
Pd: 0.5000 0.5000 0.0000  4 As 2.59

Calculated values
M_tot in μB/atom: 0.000
Total energy in eV per atom: -5.59
Formation energy from the elements in eV/atom: -0.777


[2]
First-principles (PBE-GGA) data for a geometry-optimized PmBi2As2Pd7 structure, as listed in the Alexandria database.

Cell: 4.1192 4.1192 14.4056 Å, 94.50 94.50 89.66°
Last column: nearest neighbours and their distance in Å.
Positions (direct):
Pm: 0.0000 0.0000 0.0000  12 Pd 2.90-3.00
Bi: 0.1244 0.1244 0.3954  5 Pd 2.79-3.01
Bi: 0.8756 0.8756 0.6046  5 Pd 2.79-3.01
As: 0.4295 0.4295 0.7490  5 Pd 2.49-2.50
As: 0.5705 0.5705 0.2510  5 Pd 2.49-2.50
Pd: 0.0426 0.5421 0.1522  2 As 2.50
Pd: 0.3574 0.3574 0.5753  1 As 2.49, 1 Bi 2.79
Pd: 0.4579 0.9574 0.8478  2 As 2.50
Pd: 0.5000 0.5000 0.0000  4 Pm 2.90-2.92, 8 Pd 2.99-3.00
Pd: 0.5421 0.0426 0.1522  2 As 2.50
Pd: 0.6427 0.6427 0.4247  1 As 2.49, 1 Bi 2.79
Pd: 0.9574 0.4579 0.8478  2 As 2.50

Calculated values
M_tot in μB/atom: 0.000
Total energy in eV per atom: -5.28
Formation energy from the elements in eV/atom: -0.438


[3]
First-principles (PBE-GGA) data for a geometry-optimized PmBiAsPd structure, as listed in the Alexandria database.

Cell: 7.1955 7.1955 7.1955 Å, 90.00 90.00 90.00°
Last column: nearest neighbours and their distance in Å.
Positions (direct):
Pm: 0.0000 0.0000 0.0000  4 As 3.12, 4 Pd 3.12
Pm: 0.0000 0.5000 0.5000  4 As 3.12, 4 Pd 3.12
Pm: 0.5000 0.0000 0.5000  4 As 3.12, 4 Pd 3.12
Pm: 0.5000 0.5000 0.0000  4 As 3.12, 4 Pd 3.12
Bi: 0.0000 0.0000 0.5000  4 As 3.12, 4 Pd 3.12
Bi: 0.0000 0.5000 0.0000  4 As 3.12, 4 Pd 3.12
Bi: 0.5000 0.0000 0.0000  4 As 3.12, 4 Pd 3.12
Bi: 0.5000 0.5000 0.5000  4 As 3.12, 4 Pd 3.12
As: 0.2500 0.2500 0.2500  4 Bi 3.12, 4 Pm 3.12
As: 0.2500 0.7500 0.7500  4 Bi 3.12, 4 Pm 3.12
As: 0.7500 0.2500 0.7500  4 Bi 3.12, 4 Pm 3.12
As: 0.7500 0.7500 0.2500  4 Bi 3.12, 4 Pm 3.12
Pd: 0.2500 0.2500 0.7500  4 Bi 3.12, 4 Pm 3.12
Pd: 0.2500 0.7500 0.2500  4 Bi 3.12, 4 Pm 3.12
Pd: 0.7500 0.2500 0.2500  4 Bi 3.12, 4 Pm 3.12
Pd: 0.7500 0.7500 0.7500  4 Bi 3.12, 4 Pm 3.12

Calculated values
M_tot in μB/atom: 0.000
Total energy in eV per atom: -5.15
Formation energy from the elements in eV/atom: -0.534


Q: Look up the M_tot of the first one.
A: 0.000 μB/atom


Please write out number 3 again, unchanged.
First-principles (PBE-GGA) data for a geometry-optimized PmBiAsPd structure, as listed in the Alexandria database.

Cell: 7.1955 7.1955 7.1955 Å, 90.00 90.00 90.00°
Last column: nearest neighbours and their distance in Å.
Positions (direct):
Pm: 0.0000 0.0000 0.0000  4 As 3.12, 4 Pd 3.12
Pm: 0.0000 0.5000 0.5000  4 As 3.12, 4 Pd 3.12
Pm: 0.5000 0.0000 0.5000  4 As 3.12, 4 Pd 3.12
Pm: 0.5000 0.5000 0.0000  4 As 3.12, 4 Pd 3.12
Bi: 0.0000 0.0000 0.5000  4 As 3.12, 4 Pd 3.12
Bi: 0.0000 0.5000 0.0000  4 As 3.12, 4 Pd 3.12
Bi: 0.5000 0.0000 0.0000  4 As 3.12, 4 Pd 3.12
Bi: 0.5000 0.5000 0.5000  4 As 3.12, 4 Pd 3.12
As: 0.2500 0.2500 0.2500  4 Bi 3.12, 4 Pm 3.12
As: 0.2500 0.7500 0.7500  4 Bi 3.12, 4 Pm 3.12
As: 0.7500 0.2500 0.7500  4 Bi 3.12, 4 Pm 3.12
As: 0.7500 0.7500 0.2500  4 Bi 3.12, 4 Pm 3.12
Pd: 0.2500 0.2500 0.7500  4 Bi 3.12, 4 Pm 3.12
Pd: 0.2500 0.7500 0.2500  4 Bi 3.12, 4 Pm 3.12
Pd: 0.7500 0.2500 0.2500  4 Bi 3.12, 4 Pm 3.12
Pd: 0.7500 0.7500 0.7500  4 Bi 3.12, 4 Pm 3.12

Calculated values
M_tot in μB/atom: 0.000
Total energy in eV per atom: -5.15
Formation energy from the elements in eV/atom: -0.534